Compound: H4AuI
Source: Alexandria
Functional: PBE
Structure: optimized geometry

**Mass density**: 5.092 g cm⁻³
**Calculated total energy**: -32.24 eV for the cell shown
**Total magnetization**: 0.000 μB per formula unit
**Fermi-level density of states**: 1.1 states/eV/f.u.
**SG**: C2/c

a b c (Å): 8.919 12.629 8.568
angles (deg): 42.53 45.88 19.14
Atoms (fractional coordinates):
H: 0.239 0.584 0.338
H: 0.261 0.077 0.338
H: 0.761 0.416 0.662
H: 0.447 0.159 0.281
H: 0.553 0.841 0.719
H: 0.053 0.560 0.281
H: 0.947 0.440 0.719
H: 0.739 0.923 0.662
Au: 0.250 0.202 0.596
Au: 0.750 0.798 0.404
I: 0.750 0.377 0.246
I: 0.250 0.623 0.754

Compound: KY
Source: Alexandria
Functional: PBE
Structure: optimized geometry

**Mass density**: 2.509 g cm⁻³
**Calculated total energy**: -5.19 eV for the cell shown
**Total magnetization**: 0.000 μB per formula unit
**Fermi-level density of states**: 1.5 states/eV/f.u.
**Energy of formation**: 1.185 eV/atom
**SG**: Fm-3m

a b c (Å): 4.930 4.930 4.930
angles (deg): 60.00 60.00 60.00
Atoms (fractional coordinates):
Y: 0.500 0.500 0.500
K: 0.000 0.000 0.000

Compound: TbTm4In4
Source: Alexandria
Functional: PBE
Structure: optimized geometry

**Mass density**: 8.039 g cm⁻³
**Calculated total energy**: -69.21 eV for the cell shown
**Total magnetization**: 0.000 μB per formula unit
**Fermi-level density of states**: 6.0 states/eV/f.u.
**Energy of formation**: -0.126 eV/atom
**SG**: P4_2/nmc

a b c (Å): 7.140 7.140 10.485
angles (deg): 90.00 90.00 90.00
Atoms (fractional coordinates):
Tm: 0.230 0.500 0.915
Tm: 0.770 0.500 0.915
Tm: 0.500 0.770 0.085
Tm: 0.500 0.230 0.085
Tm: 0.730 0.000 0.585
Tm: 0.000 0.730 0.415
Tm: 0.000 0.270 0.415
Tm: 0.270 0.000 0.585
In: 0.000 0.718 0.713
In: 0.500 0.218 0.787
In: 0.782 0.500 0.213
In: 0.718 0.000 0.287
In: 0.500 0.782 0.787
In: 0.218 0.500 0.213
In: 0.282 0.000 0.287
In: 0.000 0.282 0.713
Tb: 0.500 0.500 0.500
Tb: 0.000 0.000 0.000

Compound: CuNi2Rh
Source: Alexandria
Functional: PBE
Structure: optimized geometry

**Mass density**: 9.734 g cm⁻³
**Calculated total energy**: -22.85 eV for the cell shown
**Total magnetization**: 1.997 μB per formula unit
**Fermi-level density of states**: 4.5 states/eV/f.u.
**Energy of formation**: 0.039 eV/atom
**SG**: I4/mmm

a b c (Å): 4.469 4.469 4.469
angles (deg): 131.93 131.91 70.35
Atoms (fractional coordinates):
Ni: 0.500 0.500 0.000
Ni: 0.000 0.000 0.000
Rh: 0.750 0.250 0.500
Cu: 0.250 0.750 0.500

Compound: Li2VZn
Source: Alexandria
Functional: PBE
Structure: optimized geometry

**Mass density**: 3.197 g cm⁻³
**Calculated total energy**: -24.52 eV for the cell shown
**Total magnetization**: 3.732 μB per formula unit
**Fermi-level density of states**: 3.4 states/eV/f.u.
**Energy of formation**: 0.490 eV/atom
**SG**: I-42d

a b c (Å): 7.125 7.125 5.699
angles (deg): 51.31 51.31 90.00
Atoms (fractional coordinates):
V: 0.500 0.500 0.000
V: 0.250 0.750 0.500
Li: 0.101 0.625 0.250
Li: 0.375 0.351 0.750
Li: 0.875 0.899 0.750
Li: 0.649 0.125 0.250
Zn: 0.000 0.000 0.000
Zn: 0.750 0.250 0.500

Compound: CuRuPb2W
Source: Alexandria
Functional: PBE
Structure: optimized geometry

**Mass density**: 9.216 g cm⁻³
**Calculated total energy**: -26.89 eV for the cell shown
**Total magnetization**: 0.466 μB per formula unit
**Fermi-level density of states**: 5.0 states/eV/f.u.
**Energy of formation**: 1.369 eV/atom
**SG**: P4/mmm

a b c (Å): 5.412 4.693 5.412
angles (deg): 90.00 90.00 90.00
Atoms (fractional coordinates):
W: 0.000 0.000 0.000
Cu: 0.500 0.500 0.500
Pb: 0.000 0.000 0.500
Pb: 0.500 0.000 0.000
Ru: 0.000 0.500 0.000

Compound: LaTa2MnRh
Source: Alexandria
Functional: PBE
Structure: optimized geometry

**Mass density**: 8.458 g cm⁻³
**Calculated total energy**: -40.19 eV for the cell shown
**Total magnetization**: 3.751 μB per formula unit
**Fermi-level density of states**: 7.4 states/eV/f.u.
**Energy of formation**: 0.992 eV/atom
**SG**: P4/mmm

a b c (Å): 4.874 4.874 5.442
angles (deg): 90.00 90.00 90.00
Atoms (fractional coordinates):
Ta: 0.500 0.000 0.000
Ta: 0.000 0.500 0.000
Rh: 0.000 0.000 0.000
Mn: 0.500 0.500 0.500
La: 0.000 0.000 0.500

Compound: Zr6Ga3Os
Source: Alexandria
Functional: PBE
Structure: optimized geometry

**Mass density**: 7.446 g cm⁻³
**Calculated total energy**: -148.97 eV for the cell shown
**Total magnetization**: 0.000 μB per formula unit
**Fermi-level density of states**: 9.6 states/eV/f.u.
**Energy of formation**: -0.289 eV/atom
**SG**: P2_1/c

a b c (Å): 5.436 7.860 9.884
angles (deg): 90.00 89.46 90.00
Atoms (fractional coordinates):
Zr: 0.410 0.830 0.068
Zr: 0.090 0.323 0.069
Zr: 0.644 0.459 0.255
Zr: 0.856 0.959 0.245
Zr: 0.590 0.177 0.569
Zr: 0.356 0.541 0.745
Zr: 0.144 0.041 0.755
Zr: 0.910 0.677 0.931
Zr: 0.590 0.170 0.932
Zr: 0.910 0.670 0.568
Zr: 0.090 0.330 0.432
Zr: 0.410 0.823 0.431
Ga: 0.114 0.622 0.248
Ga: 0.386 0.122 0.252
Ga: 0.500 0.500 0.000
Ga: 0.614 0.878 0.748
Ga: 0.000 0.000 0.500
Ga: 0.886 0.378 0.752
Os: 0.500 0.500 0.500
Os: 0.000 0.000 0.000

Compound: KSc2Au
Source: Alexandria
Functional: PBE
Structure: optimized geometry

**Distance to the lowest polymorph of the same formula**: 12.64 kcal/mol of atoms
**Mass density**: 3.294 g cm⁻³
**Calculated total energy**: -30.57 eV for the cell shown
**Total magnetization**: 1.089 μB per formula unit
**Fermi-level density of states**: 6.4 states/eV/f.u.
**Energy of formation**: 0.438 eV/atom
**SG**: I4_1/amd

a b c (Å): 6.104 6.104 9.819
angles (deg): 71.89 71.89 90.00
Atoms (fractional coordinates):
Au: 0.750 0.250 0.500
Au: 0.000 0.000 0.000
Sc: 0.875 0.125 0.250
Sc: 0.875 0.125 0.750
Sc: 0.875 0.625 0.250
Sc: 0.375 0.125 0.750
K: 0.250 0.750 0.500
K: 0.500 0.500 0.000

Compound: CrCu2As
Source: Alexandria
Functional: PBE
Structure: optimized geometry

**Mass density**: 7.819 g cm⁻³
**Calculated total energy**: -22.10 eV for the cell shown
**Total magnetization**: 2.812 μB per formula unit
**Fermi-level density of states**: 2.3 states/eV/f.u.
**Energy of formation**: 0.091 eV/atom
**SG**: P4/mmm

a b c (Å): 3.614 3.612 4.132
angles (deg): 90.00 90.00 90.00
Atoms (fractional coordinates):
Cu: 0.500 0.500 0.000
Cu: 0.000 0.000 0.000
Cr: 0.000 0.500 0.500
As: 0.500 0.000 0.500

Compound: CoOs5
Source: Alexandria
Functional: PBE
Structure: optimized geometry

**Distance to the lowest polymorph of the same formula**: 22.70 kcal/mol of atoms
**Mass density**: 17.096 g cm⁻³
**Calculated total energy**: -57.00 eV for the cell shown
**Total magnetization**: 3.557 μB per formula unit
**Fermi-level density of states**: 10.0 states/eV/f.u.
**Energy of formation**: 1.042 eV/atom
**SG**: P6/mmm

a b c (Å): 5.009 5.009 4.515
angles (deg): 90.00 90.00 120.00
Atoms (fractional coordinates):
Os: 0.333 0.667 0.000
Os: 0.000 0.500 0.500
Os: 0.500 0.500 0.500
Os: 0.667 0.333 0.000
Os: 0.500 0.000 0.500
Co: 0.000 0.000 0.000

Compound: CuH
Source: Alexandria
Functional: PBE
Structure: optimized geometry

**Mass density**: 5.547 g cm⁻³
**Calculated total energy**: -42.97 eV for the cell shown
**Total magnetization**: 0.000 μB per formula unit
**Fermi-level density of states**: 0.0 states/eV/f.u.
**SG**: Pm-3n

a b c (Å): 4.876 4.876 4.876
angles (deg): 90.00 90.00 90.00
Atoms (fractional coordinates):
Cu: 0.500 0.000 0.250
Cu: 0.750 0.500 0.000
Cu: 0.000 0.250 0.500
Cu: 0.250 0.500 0.000
Cu: 0.500 0.000 0.750
Cu: 0.000 0.750 0.500
H: 0.000 0.500 0.250
H: 0.000 0.500 0.750
H: 0.500 0.250 0.000
H: 0.500 0.750 0.000
H: 0.250 0.000 0.500
H: 0.750 0.000 0.500